# 1
Material: Ti3CrO
Method: DFT, GGA+U
State: relaxed

```
Ti3CrO
1.0
4.088 0.000 0.000
0.000 4.088 0.000
0.000 0.000 4.088
Cr Ti O
1 3 1
Direct
0.500 0.500 0.500
0.500 0.000 0.000
0.000 0.500 0.000
0.000 0.000 0.500
0.000 0.000 0.000
```

## Properties
For the mass density, the calculation gives 5.144 Mg/m³. The value obtained for the volume is 68 Å³/cell. Its symmetry is No. 221. The total energy comes out at -7.7734 eV per atom. The calculation puts the magnetic moment at 0.00 μB/f.u.



# 2
Material: TiCrO4
Method: DFT, GGA+U
State: relaxed

```
TiCrO4
1.0
4.564 0.000 0.000
0.000 5.141 -1.796
0.000 -0.430 5.444
O Cr Ti
8 2 2
Direct
0.696 0.152 0.847
0.204 0.850 0.649
0.304 0.848 0.153
0.804 0.652 0.847
0.796 0.150 0.351
0.704 0.650 0.351
0.196 0.348 0.153
0.296 0.350 0.649
0.500 0.000 0.500
0.000 0.500 0.500
0.000 0.000 0.000
0.500 0.500 0.000
```

## Properties
For the mass density, the calculation gives 4.381 Mg/m³. The value obtained for the volume is 124 Å³/cell. Its symmetry is No. 14. The total energy comes out at -8.1411 eV per atom. The calculation puts the magnetic moment at 2.00 μB/f.u.



# 3
Material: TiCr3O
Method: DFT, GGA+U
State: relaxed

```
TiCr3O
1.0
-1.186 -3.202 -2.545
4.062 -1.234 -0.340
-0.482 -2.522 3.398
Ti O Cr
1 1 3
Direct
0.500 0.500 0.500
0.000 0.000 0.000
0.000 0.500 0.000
0.500 0.000 0.000
0.000 0.000 0.500
```

## Properties
For the mass density, the calculation gives 4.725 Mg/m³. The value obtained for the volume is 77 Å³/cell. Its symmetry is No. 221. The total energy comes out at -7.0444 eV per atom. The calculation puts the magnetic moment at 9.81 μB/f.u.



# 4
Material: TiTl3Cr3O8
Method: DFT, GGA+U
State: relaxed

```
TiTl3Cr3O8
1.0
6.147 0.000 0.000
-3.073 5.322 -0.015
0.000 -3.530 6.527
O Tl Cr Ti
8 3 3 1
Direct
0.728 0.942 0.656
0.786 0.572 0.343
0.786 0.058 0.344
0.214 0.942 0.656
0.718 0.435 0.652
0.214 0.428 0.657
0.272 0.058 0.344
0.282 0.565 0.348
0.000 0.500 0.000
0.000 0.000 0.000
0.500 0.500 0.000
0.500 0.500 0.500
0.000 0.500 0.500
0.500 0.000 0.500
0.000 0.000 0.500
```

## Properties
For the mass density, the calculation gives 7.361 Mg/m³. The value obtained for the volume is 213 Å³/cell. Its symmetry is No. 166. The total energy comes out at -6.8602 eV per atom. The calculation puts the magnetic moment at 9.00 μB/f.u.



# 5
Material: TiTlCr2O8
Method: DFT, GGA+U
State: relaxed

```
TiTlCr2O8
1.0
-3.811 3.745 -0.453
-3.434 -0.453 -4.094
-5.201 -4.222 4.330
O Ti Cr Tl
8 1 2 1
Direct
0.203 0.710 0.832
0.710 0.203 0.832
0.680 0.680 0.406
0.797 0.797 0.084
0.290 0.797 0.168
0.797 0.290 0.168
0.203 0.203 0.916
0.320 0.320 0.594
0.000 0.000 0.000
0.359 0.359 0.791
0.641 0.641 0.209
0.000 0.000 0.500
```

## Properties
For the mass density, the calculation gives 3.956 Mg/m³. The value obtained for the volume is 203 Å³/cell. Its symmetry is No. 12. The total energy comes out at -7.0210 eV per atom. The calculation puts the magnetic moment at 1.00 μB/f.u.



# 6
Material: TiTlCrO4
Method: DFT, GGA+U
State: relaxed

```
TiTlCrO4
1.0
5.301 0.000 -1.079
0.000 5.508 0.000
-3.327 0.000 8.431
Tl Ti O Cr
2 2 8 2
Direct
0.450 0.250 0.136
0.550 0.750 0.864
0.797 0.250 0.650
0.203 0.750 0.350
0.959 0.997 0.344
0.534 0.750 0.568
0.041 0.003 0.656
0.959 0.503 0.344
0.041 0.497 0.656
0.595 0.250 0.759
0.405 0.750 0.241
0.466 0.250 0.432
0.803 0.750 0.473
0.197 0.250 0.527
```

## Properties
For the mass density, the calculation gives 5.402 Mg/m³. The value obtained for the volume is 226 Å³/cell. Its symmetry is No. 11. The total energy comes out at -7.3091 eV per atom. The calculation puts the magnetic moment at 3.00 μB/f.u.



# 7
Material: TiTl2CrO6
Method: DFT, GGA+U
State: relaxed

```
TiTl2CrO6
1.0
-4.471 -1.039 -3.218
-2.926 -4.747 0.561
-5.177 0.031 2.145
Ti O Cr Tl
1 6 1 2
Direct
0.323 0.323 0.059
0.557 0.964 0.901
0.495 0.060 0.362
0.965 0.164 0.292
0.165 0.556 0.700
0.627 0.495 0.793
0.058 0.627 0.229
0.816 0.816 0.551
0.078 0.078 0.814
0.579 0.579 0.315
```

## Properties
For the mass density, the calculation gives 8.265 Mg/m³. The value obtained for the volume is 121 Å³/cell. Its symmetry is No. 1. The total energy comes out at -6.5741 eV per atom. The calculation puts the magnetic moment at 2.83 μB/f.u.



# 8
Material: TiTlCrO6
Method: DFT, GGA+U
State: relaxed

```
TiTlCrO6
1.0
4.717 0.000 0.000
0.000 4.717 0.000
0.000 0.000 9.464
O Tl Ti Cr
12 2 2 2
Direct
0.715 0.715 0.310
0.215 0.785 0.810
0.175 0.825 0.504
0.728 0.728 0.688
0.272 0.272 0.688
0.675 0.675 0.004
0.285 0.285 0.310
0.785 0.215 0.810
0.825 0.175 0.504
0.228 0.772 0.188
0.325 0.325 0.004
0.772 0.228 0.188
0.000 0.000 0.997
0.500 0.500 0.497
0.500 0.500 0.837
0.000 0.000 0.337
0.000 0.000 0.663
0.500 0.500 0.163
```

## Properties
For the mass density, the calculation gives 6.313 Mg/m³. The value obtained for the volume is 211 Å³/cell. Its symmetry is No. 102. The total energy comes out at -6.8439 eV per atom. The calculation puts the magnetic moment at 0.99 μB/f.u.



- Among the records above, which one has the highest magnetic moment?
  TiCr3O



- Which of these has the highest magnetic moment?
  TiCr3O